Entry 1:
Material: Ti8NiRh2
Method: DFT, PBE-GGA
State: optimized geometry

a b c (Å): 4.371 6.085 7.448
angles (deg): 109.36 107.06 90.00
Positions (direct):
1 Ti 0.410 0.556 0.820
2 Ti 0.661 0.933 0.322
3 Ti 0.817 0.727 0.633
4 Ti 0.980 0.248 0.960
5 Ti 0.183 0.273 0.367
6 Ti 0.339 0.067 0.678
7 Ti 0.590 0.444 0.180
8 Ti 0.020 0.752 0.040
9 Ni 0.500 0.000 0.000
10 Rh 0.810 0.313 0.620
11 Rh 0.190 0.687 0.380

Results
The symmetry is C2/m, No. 12. As for the total magnetic moment: 0.01 μB per cell. The value obtained for the volume is 178 Å³ per cell. The formation energy is -282 meV/atom.

***

Entry 2:
Material: Ti3NiRh2
Method: DFT, PBE-GGA
State: optimized geometry

a b c (Å): 4.332 4.332 10.838
angles (deg): 90.00 90.00 120.00
Positions (direct):
1 Ti 0.333 0.667 0.406
2 Ti 0.667 0.333 0.094
3 Ti 0.000 0.000 0.747
4 Ti 0.000 0.000 0.253
5 Ti 0.333 0.667 0.906
6 Ti 0.667 0.333 0.594
7 Ni 0.333 0.667 0.637
8 Ni 0.667 0.333 0.363
9 Rh 0.000 0.000 0.500
10 Rh 0.333 0.667 0.155
11 Rh 0.667 0.333 0.845
12 Rh 0.000 0.000 0.000

Results
The symmetry is P-3m1, No. 164. The value obtained for the offset from the most stable computed form is 0.0 meV/atom. As for the total magnetic moment: 0.00 μB per cell. The value obtained for the volume is 176 Å³ per cell. The formation energy is -619 meV/atom.

***

Entry 3:
Material: Ti6Ni8Rh
Method: DFT, PBE-GGA
State: optimized geometry

a b c (Å): 6.851 6.851 6.452
angles (deg): 57.93 57.93 60.00
Positions (direct):
1 Ti 0.392 0.120 0.834
2 Ti 0.880 0.346 0.166
3 Ti 0.346 0.608 0.166
4 Ti 0.654 0.392 0.834
5 Ti 0.120 0.654 0.834
6 Ti 0.608 0.880 0.166
7 Ni 0.597 0.155 0.361
8 Ni 0.845 0.114 0.639
9 Ni 0.114 0.403 0.639
10 Ni 0.742 0.742 0.775
11 Ni 0.258 0.258 0.225
12 Ni 0.886 0.597 0.361
13 Ni 0.155 0.886 0.361
14 Ni 0.403 0.845 0.639
15 Rh 0.000 0.000 0.000

Results
The symmetry is R-3, No. 148. As for the total magnetic moment: 0.00 μB per cell. The value obtained for the volume is 207 Å³ per cell. The formation energy is -222 meV/atom.

***

Entry 4:
Material: TiNi4Rh
Method: DFT, PBE-GGA
State: optimized geometry

a b c (Å): 4.088 4.088 5.029
angles (deg): 90.00 90.00 120.00
Positions (direct):
1 Ti 0.000 0.500 0.000
2 Ni 0.334 0.167 0.747
3 Ni 0.667 0.834 0.747
4 Ni 0.333 0.166 0.253
5 Ni 0.666 0.833 0.253
6 Rh 0.000 0.500 0.500

Results
The symmetry is P6/mmm, No. 191. The value obtained for the offset from the most stable computed form is 0.0 meV/atom. As for the total magnetic moment: 0.00 μB per cell. The value obtained for the volume is 73 Å³ per cell. The formation energy is -297 meV/atom.

***

Entry 5:
Material: Ti7Ni4Rh
Method: DFT, PBE-GGA
State: optimized geometry

a b c (Å): 4.637 6.902 6.547
angles (deg): 71.44 69.26 70.37
Positions (direct):
1 Ti 0.766 0.916 0.552
2 Ti 0.234 0.084 0.448
3 Ti 0.056 0.616 0.271
4 Ti 0.944 0.384 0.729
5 Ti 0.269 0.697 0.766
6 Ti 0.500 0.000 0.000
7 Ti 0.731 0.303 0.234
8 Ni 0.535 0.306 0.625
9 Ni 0.465 0.694 0.375
10 Ni 0.700 0.635 0.965
11 Ni 0.300 0.365 0.035
12 Rh 0.000 0.000 0.000

Results
The symmetry is C2/m, No. 12. As for the total magnetic moment: 0.00 μB per cell. The value obtained for the volume is 180 Å³ per cell. The formation energy is -173 meV/atom.

***

Entry 6:
Material: TiNi6Rh2
Method: DFT, PBE-GGA
State: optimized geometry

a b c (Å): 2.818 6.458 7.039
angles (deg): 62.69 84.47 77.87
Positions (direct):
1 Ti 0.000 0.000 0.000
2 Ni 0.161 0.819 0.683
3 Ni 0.839 0.181 0.317
4 Ni 0.336 0.337 0.000
5 Ni 0.161 0.502 0.317
6 Ni 0.839 0.498 0.683
7 Ni 0.664 0.663 0.000
8 Rh 0.500 0.832 0.336
9 Rh 0.500 0.168 0.664

Results
The symmetry is C2/m, No. 12. As for the total magnetic moment: 0.83 μB per cell. The value obtained for the volume is 111 Å³ per cell. The formation energy is -63 meV/atom.

***

Entry 7:
Material: Ti2NiRh
Method: DFT, PBE-GGA
State: optimized geometry

a b c (Å): 9.510 9.510 4.277
angles (deg): 90.00 90.00 162.42
Positions (direct):
1 Ti 0.195 0.805 0.250
2 Ti 0.805 0.195 0.750
3 Ti 0.946 0.054 0.250
4 Ti 0.054 0.946 0.750
5 Ni 0.429 0.571 0.750
6 Ni 0.571 0.429 0.250
7 Rh 0.668 0.332 0.750
8 Rh 0.332 0.668 0.250

Results
The symmetry is Cmcm, No. 63. As for the total magnetic moment: 0.00 μB per cell. The value obtained for the volume is 117 Å³ per cell. The formation energy is -551 meV/atom.

***

Entry 8:
Material: TiNi4Rh
Method: DFT, PBE-GGA
State: optimized geometry

a b c (Å): 4.694 4.694 4.694
angles (deg): 60.00 60.00 60.00
Positions (direct):
1 Ni 0.626 0.626 0.123
2 Ni 0.626 0.123 0.626
3 Ni 0.626 0.626 0.626
4 Ni 0.123 0.626 0.626
5 Rh 0.000 0.000 0.000
6 Ti 0.250 0.250 0.250

Results
The symmetry is F-43m, No. 216. The value obtained for the offset from the most stable computed form is 15.9 meV/atom. As for the total magnetic moment: 1.13 μB per cell. The value obtained for the volume is 73 Å³ per cell. The formation energy is -281 meV/atom.

***

Entry 9:
Material: Ti2Ni2Rh
Method: DFT, PBE-GGA
State: optimized geometry

a b c (Å): 2.932 3.455 7.048
angles (deg): 75.81 90.00 90.00
Positions (direct):
1 Ti 0.500 0.385 0.230
2 Ti 0.500 0.615 0.770
3 Ni 0.000 0.192 0.617
4 Ni 0.000 0.808 0.383
5 Rh 0.000 0.000 0.000

Results
The symmetry is Cmmm, No. 65. The value obtained for the offset from the most stable computed form is 18.8 meV/atom. As for the total magnetic moment: 0.00 μB per cell. The value obtained for the volume is 69 Å³ per cell. The formation energy is -474 meV/atom.

***

Entry 10:
Material: Ti11Ni9Rh4
Method: DFT, PBE-GGA
State: optimized geometry

a b c (Å): 2.949 10.923 10.923
angles (deg): 107.49 90.00 90.00
Positions (direct):
1 Ti 0.000 0.583 0.933
2 Ti 0.000 0.417 0.067
3 Ti 0.000 0.933 0.583
4 Ti 0.000 0.067 0.417
5 Ti 0.000 0.628 0.372
6 Ti 0.000 0.372 0.628
7 Ti 0.000 0.813 0.187
8 Ti 0.000 0.187 0.813
9 Ti 0.000 0.000 0.000
10 Ti 0.000 0.797 0.797
11 Ti 0.000 0.203 0.203
12 Ni 0.500 0.624 0.165
13 Ni 0.500 0.376 0.835
14 Ni 0.500 0.165 0.624
15 Ni 0.500 0.835 0.376
16 Ni 0.500 0.786 0.994
17 Ni 0.500 0.214 0.006
18 Ni 0.500 0.994 0.786
19 Ni 0.500 0.006 0.214
20 Ni 0.500 0.500 0.500
21 Rh 0.500 0.586 0.744
22 Rh 0.500 0.414 0.256
23 Rh 0.500 0.744 0.586
24 Rh 0.500 0.256 0.414

Results
The symmetry is Cmmm, No. 65. As for the total magnetic moment: 2.09 μB per cell. The value obtained for the volume is 336 Å³ per cell. The formation energy is -464 meV/atom.

***

Entry 11:
Material: TiNi3Rh
Method: DFT, PBE-GGA
State: optimized geometry

a b c (Å): 6.384 6.384 6.384
angles (deg): 90.00 90.00 90.00
Positions (direct):
1 Ti 0.696 0.696 0.696
2 Ti 0.804 0.304 0.196
3 Ti 0.304 0.196 0.804
4 Ti 0.196 0.804 0.304
5 Ni 0.122 0.198 0.450
6 Ni 0.378 0.802 0.950
7 Ni 0.878 0.698 0.050
8 Ni 0.450 0.122 0.198
9 Ni 0.622 0.302 0.550
10 Ni 0.950 0.378 0.802
11 Ni 0.050 0.878 0.698
12 Ni 0.550 0.622 0.302
13 Ni 0.198 0.450 0.122
14 Ni 0.698 0.050 0.878
15 Ni 0.302 0.550 0.622
16 Ni 0.802 0.950 0.378
17 Rh 0.054 0.054 0.054
18 Rh 0.446 0.946 0.554
19 Rh 0.946 0.554 0.446
20 Rh 0.554 0.446 0.946

Results
The symmetry is P2_13, No. 198. The value obtained for the offset from the most stable computed form is 69.8 meV/atom. As for the total magnetic moment: 0.00 μB per cell. The value obtained for the volume is 260 Å³ per cell. The formation energy is -203 meV/atom.

***

Entry 12:
Material: Ti6Ni3Rh
Method: DFT, PBE-GGA
State: optimized geometry

a b c (Å): 7.331 4.993 8.801
angles (deg): 90.00 65.66 90.00
Positions (direct):
1 Ti 0.712 0.980 0.854
2 Ti 0.656 0.969 0.545
3 Ti 0.870 0.270 0.291
4 Ti 0.130 0.730 0.709
5 Ti 0.344 0.031 0.455
6 Ti 0.288 0.020 0.146
7 Ti 0.212 0.520 0.354
8 Ti 0.156 0.531 0.045
9 Ti 0.370 0.230 0.791
10 Ti 0.630 0.770 0.209
11 Ti 0.844 0.469 0.955
12 Ti 0.788 0.480 0.646
13 Ni 0.422 0.748 0.799
14 Ni 0.500 0.500 0.000
15 Ni 0.578 0.252 0.201
16 Ni 0.922 0.752 0.299
17 Ni 0.000 0.000 0.500
18 Ni 0.078 0.248 0.701
19 Rh 0.500 0.500 0.500
20 Rh 0.000 0.000 0.000

Results
The symmetry is P2_1/c, No. 14. As for the total magnetic moment: 0.00 μB per cell. The value obtained for the volume is 294 Å³ per cell. The formation energy is -323 meV/atom.

***

Entry 13:
Material: TiNi4Rh2
Method: DFT, PBE-GGA
State: optimized geometry

a b c (Å): 8.870 4.845 4.855
angles (deg): 119.94 90.00 90.00
Positions (direct):
1 Ti 0.000 0.000 0.000
2 Ti 0.500 0.500 0.000
3 Ni 0.777 0.504 0.000
4 Ni 0.750 0.502 0.500
5 Ni 0.750 0.002 0.500
6 Ni 0.723 0.004 0.000
7 Ni 0.277 0.996 0.000
8 Ni 0.250 0.998 0.500
9 Ni 0.250 0.498 0.500
10 Ni 0.223 0.496 0.000
11 Rh 0.000 0.683 0.365
12 Rh 0.000 0.317 0.635
13 Rh 0.500 0.817 0.635
14 Rh 0.500 0.183 0.365

Results
The symmetry is Cmce, No. 64. As for the total magnetic moment: 5.66 μB per cell. The value obtained for the volume is 181 Å³ per cell. The formation energy is -114 meV/atom.

***

Entry 14:
Material: Ti2Ni2Rh
Method: DFT, PBE-GGA
State: optimized geometry

a b c (Å): 6.794 6.794 2.953
angles (deg): 90.00 90.00 90.00
Positions (direct):
1 Ni 0.375 0.875 0.000
2 Ni 0.875 0.625 0.000
3 Ni 0.625 0.125 0.000
4 Ni 0.125 0.375 0.000
5 Rh 0.000 0.000 0.000
6 Rh 0.500 0.500 0.000
7 Ti 0.176 0.676 0.500
8 Ti 0.676 0.824 0.500
9 Ti 0.824 0.324 0.500
10 Ti 0.324 0.176 0.500

Results
The symmetry is P4/mbm, No. 127. The value obtained for the offset from the most stable computed form is 0.0 meV/atom. As for the total magnetic moment: 0.00 μB per cell. The value obtained for the volume is 136 Å³ per cell. The formation energy is -493 meV/atom.

***

Entry 15:
Material: Ti2NiRh
Method: DFT, PBE-GGA
State: optimized geometry

a b c (Å): 6.750 6.750 5.469
angles (deg): 51.90 51.90 90.00
Positions (direct):
1 Ni 0.500 0.500 0.000
2 Ni 0.250 0.750 0.500
3 Rh 0.000 0.000 0.000
4 Rh 0.750 0.250 0.500
5 Ti 0.620 0.125 0.250
6 Ti 0.130 0.625 0.250
7 Ti 0.375 0.380 0.750
8 Ti 0.875 0.870 0.750

Results
The symmetry is I-42d, No. 122. As for the total magnetic moment: 0.00 μB per cell. The value obtained for the volume is 122 Å³ per cell. The formation energy is -163 meV/atom.

***

Entry 16:
Material: Ti4NiRh
Method: DFT, PBE-GGA
State: optimized geometry

a b c (Å): 3.050 3.050 9.745
angles (deg): 90.00 90.00 90.00
Positions (direct):
1 Ti 0.500 0.500 0.845
2 Ti 0.500 0.500 0.155
3 Ti 0.000 0.000 0.665
4 Ti 0.000 0.000 0.335
5 Ni 0.000 0.000 0.000
6 Rh 0.500 0.500 0.500

Results
The symmetry is P4/mmm, No. 123. The value obtained for the offset from the most stable computed form is 0.0 meV/atom. As for the total magnetic moment: 0.00 μB per cell. The value obtained for the volume is 91 Å³ per cell. The formation energy is -454 meV/atom.

***

Entry 17:
Material: Ti4Ni2Rh3
Method: DFT, PBE-GGA
State: optimized geometry

a b c (Å): 3.991 4.536 8.102
angles (deg): 82.36 90.00 63.91
Positions (direct):
1 Ti 0.662 0.677 0.884
2 Ti 0.025 0.950 0.339
3 Ti 0.975 0.050 0.661
4 Ti 0.338 0.323 0.116
5 Ni 0.328 0.344 0.792
6 Ni 0.672 0.656 0.208
7 Rh 0.338 0.324 0.419
8 Rh 0.000 0.000 0.000
9 Rh 0.662 0.676 0.581

Results
The symmetry is C2/m, No. 12. As for the total magnetic moment: 0.00 μB per cell. The value obtained for the volume is 130 Å³ per cell. The formation energy is -547 meV/atom.

***

Entry 18:
Material: Ti7NiRh2
Method: DFT, PBE-GGA
State: optimized geometry

a b c (Å): 6.314 6.314 6.314
angles (deg): 60.00 60.00 60.00
Positions (direct):
1 Ti 0.500 0.500 0.500
2 Ti 0.248 0.752 0.752
3 Ti 0.248 0.752 0.248
4 Ti 0.752 0.248 0.752
5 Ti 0.752 0.752 0.248
6 Ti 0.248 0.248 0.752
7 Ti 0.752 0.248 0.248
8 Ni 0.000 0.000 0.000
9 Rh 0.250 0.250 0.250
10 Rh 0.750 0.750 0.750

Results
The symmetry is Fm-3m, No. 225. As for the total magnetic moment: 0.01 μB per cell. The value obtained for the volume is 178 Å³ per cell. The formation energy is 616 meV/atom.

***

Entry 19:
Material: TiNi3Rh
Method: DFT, PBE-GGA
State: optimized geometry

a b c (Å): 4.297 5.076 6.175
angles (deg): 90.00 69.65 90.00
Positions (direct):
1 Ti 0.612 0.750 0.275
2 Ti 0.388 0.250 0.725
3 Ni 0.187 0.005 0.126
4 Ni 0.813 0.995 0.874
5 Ni 0.187 0.495 0.126
6 Ni 0.813 0.505 0.874
7 Ni 0.998 0.750 0.505
8 Ni 0.002 0.250 0.495
9 Rh 0.381 0.750 0.738
10 Rh 0.619 0.250 0.262

Results
The symmetry is Cmcm, No. 63. The value obtained for the offset from the most stable computed form is 0.0 meV/atom. As for the total magnetic moment: 0.80 μB per cell. The value obtained for the volume is 126 Å³ per cell. The formation energy is -272 meV/atom.

***

Entry 20:
Material: Ti3NiRh2
Method: DFT, PBE-GGA
State: optimized geometry

a b c (Å): 3.020 3.020 9.591
angles (deg): 90.00 90.00 90.00
Positions (direct):
1 Ti 0.000 0.000 0.000
2 Ti 0.000 0.000 0.656
3 Ti 0.000 0.000 0.344
4 Ni 0.500 0.500 0.500
5 Rh 0.500 0.500 0.829
6 Rh 0.500 0.500 0.171

Results
The symmetry is P4/mmm, No. 123. The value obtained for the offset from the most stable computed form is 6.4 meV/atom. As for the total magnetic moment: 0.00 μB per cell. The value obtained for the volume is 88 Å³ per cell. The formation energy is -613 meV/atom.

***

Entry 21:
Material: TiNiRh2
Method: DFT, PBE-GGA
State: optimized geometry

a b c (Å): 3.762 3.762 8.912
angles (deg): 77.82 77.82 90.00
Positions (direct):
1 Ni 0.000 0.000 0.000
2 Ni 0.750 0.250 0.500
3 Rh 0.640 0.125 0.250
4 Rh 0.110 0.625 0.250
5 Rh 0.375 0.360 0.750
6 Rh 0.875 0.890 0.750
7 Ti 0.500 0.500 0.000
8 Ti 0.250 0.750 0.500

Results
The symmetry is I-42d, No. 122. As for the total magnetic moment: 0.00 μB per cell. The value obtained for the volume is 120 Å³ per cell. The formation energy is -70 meV/atom.

***

Entry 22:
Material: TmTiNiRh
Method: DFT, PBE-GGA
State: optimized geometry

a b c (Å): 4.553 4.553 4.553
angles (deg): 60.00 60.00 60.00
Positions (direct):
1 Ni 0.500 0.500 0.500
2 Tm 0.250 0.250 0.250
3 Rh 0.000 0.000 0.000
4 Ti 0.750 0.750 0.750

Results
The symmetry is F-43m, No. 216. As for the total magnetic moment: 0.00 μB per cell. The value obtained for the volume is 67 Å³ per cell. The formation energy is -514 meV/atom.